# Ba2MgHg, optimized geometry, DFT PBE-GGA
# ΔE to the lowest computed polymorph = 0.018 eV/atom
# ΔE_f = -0.275 eV per atom
data_Ba2MgHg
_cell_length_a 4.244
_cell_length_b 6.073
_cell_length_c 6.073
_cell_angle_alpha 90.00
_cell_angle_beta 90.00
_cell_angle_gamma 90.00
_symmetry_space_group_name_H-M 'P m m 2'
_symmetry_Int_Tables_number 25
_symmetry_space_group_name_Hall 'P 2 -2'
loop_
_atom_site_label
_atom_site_type_symbol
_atom_site_fract_x
_atom_site_fract_y
_atom_site_fract_z
Ba1 Ba 0.000 0.000 0.000
Ba2 Ba 0.000 0.500 0.496
Mg1 Mg 0.500 0.000 0.502
Hg1 Hg 0.500 0.500 0.994